# LiLa2Zr

A relaxed LiLa2Zr crystal (GGA-PBE, Alexandria).

Formation energy, eV per atom: 0.23
Mass density, g/cm3: 5.423
Final energy, Ry per atom: -0.35667
Relative energy among the computed polymorphs, meV/atom: 113.1

Geometry as CIF:
```
data_LiLa2Zr
_space_group_name_H-M_alt 'F m -3 m'
_space_group_IT_number 225
_space_group_name_Hall '-F 4 2 3'
_cell_length_a 7.7223
_cell_length_b 7.7223
_cell_length_c 7.7223
_cell_angle_alpha 90.00
_cell_angle_beta 90.00
_cell_angle_gamma 90.00
loop_
_atom_site_label
_atom_site_fract_x
_atom_site_fract_y
_atom_site_fract_z
_atom_site_occupancy
Li1 0.0000 0.0000 0.0000 1
La1 0.2500 0.2500 0.2500 1
Zr1 0.0000 0.0000 0.5000 1
```

---

# La2Lu

A relaxed La2Lu crystal (GGA-PBE, Alexandria).

Formation energy, eV per atom: 0.04
Mass density, g/cm3: 7.268
Final energy, Ry per atom: -0.34921

Geometry as CIF:
```
data_La2Lu
_space_group_name_H-M_alt 'I 4/m m m'
_space_group_IT_number 139
_space_group_name_Hall '-I 4 2'
_cell_length_a 3.6979
_cell_length_b 3.6979
_cell_length_c 15.1300
_cell_angle_alpha 90.00
_cell_angle_beta 90.00
_cell_angle_gamma 90.00
loop_
_atom_site_label
_atom_site_fract_x
_atom_site_fract_y
_atom_site_fract_z
_atom_site_occupancy
La1 0.0000 0.0000 0.1638 1
Lu1 0.0000 0.0000 0.5000 1
```

---

# La6Lu

A relaxed La6Lu crystal (GGA-PBE, Alexandria).

Formation energy, eV per atom: 0.97
Mass density, g/cm3: 6.130
Final energy, Ry per atom: -0.28633

Geometry as CIF:
```
data_La6Lu
_space_group_name_H-M_alt 'I m -3 m'
_space_group_IT_number 229
_space_group_name_Hall '-I 4 2 3'
_cell_length_a 8.1748
_cell_length_b 8.1748
_cell_length_c 8.1748
_cell_angle_alpha 90.00
_cell_angle_beta 90.00
_cell_angle_gamma 90.00
loop_
_atom_site_label
_atom_site_fract_x
_atom_site_fract_y
_atom_site_fract_z
_atom_site_occupancy
La1 0.0000 0.2500 0.5000 1
Lu1 0.0000 0.0000 0.0000 1
```